1.
PmPr2Pt: optimized geometry, PBE.

a b c (Å): 3.7132 3.7132 8.7325
angles (deg): 90.00 90.00 90.00
Element x y z (fractional)
Pm (0.0000, 0.0000, 0.0000)
Pr (0.5000, 0.5000, 0.3046)
Pr (0.5000, 0.5000, 0.6954)
Pt (0.0000, 0.0000, 0.5000)

Relative energy among the computed polymorphs ... 154 meV/atom
Symmetry ... No. 123
Crystal system ... tetragonal
DFT total energy ... -5.5474 eV/atom
ΔE_f ... -10.6 kcal/mol of atoms

***

2.
Th8Te4As3S: optimized geometry, PBE.

a b c (Å): 8.8559 8.8559 8.8559
angles (deg): 57.47 57.47 57.47
Element x y z (fractional)
Th (0.2401, 0.2401, 0.2401)
Th (0.2483, 0.7330, 0.7330)
Th (0.2670, 0.2670, 0.7517)
Th (0.2670, 0.7517, 0.2670)
Th (0.7330, 0.2483, 0.7330)
Th (0.7330, 0.7330, 0.2483)
Th (0.7517, 0.2670, 0.2670)
Th (0.7599, 0.7599, 0.7599)
Te (0.0000, 0.0000, 0.0000)
Te (0.0000, 0.5000, 0.5000)
Te (0.5000, 0.0000, 0.5000)
Te (0.5000, 0.5000, 0.0000)
As (0.0000, 0.0000, 0.5000)
As (0.0000, 0.5000, 0.0000)
As (0.5000, 0.0000, 0.0000)
S (0.5000, 0.5000, 0.5000)

Symmetry ... No. 166
Formation energy without anion corrections ... -1.30 eV/atom
Crystal system ... trigonal
DFT total energy ... -6.9211 eV/atom

***

3.
Li2Cd3In3: optimized geometry, PBE.

a b c (Å): 5.7001 5.7001 5.7001
angles (deg): 92.21 92.21 92.21
Element x y z (fractional)
Li (0.2410, 0.2410, 0.2410)
Li (0.7590, 0.7590, 0.7590)
Cd (0.0000, 0.6999, 0.3001)
Cd (0.3001, 0.0000, 0.6999)
Cd (0.6999, 0.3001, 0.0000)
In (0.2063, 0.5000, 0.7937)
In (0.5000, 0.7937, 0.2063)
In (0.7937, 0.2063, 0.5000)

Relative energy among the computed polymorphs ... 60 meV/atom
Symmetry ... No. 155
Crystal system ... trigonal
DFT total energy ... -1.9419 eV/atom
ΔE_f ... -2.2 kcal/mol of atoms

***

4.
CsTlIr2Pb: optimized geometry, PBE.

a b c (Å): 5.1586 5.1586 6.0858
angles (deg): 90.00 90.00 90.00
Element x y z (fractional)
Cs (0.0000, 0.0000, 0.0000)
Tl (0.5000, 0.5000, 0.5000)
Ir (0.0000, 0.5000, 0.0000)
Ir (0.5000, 0.0000, 0.0000)
Pb (0.0000, 0.0000, 0.5000)

Symmetry ... No. 123
Crystal system ... tetragonal
DFT total energy ... -2.7196 eV/atom
ΔE_f ... 51.0 kcal/mol of atoms